Ac2PrSmHo: optimized geometry, PBE.

Geometry as POSCAR:
```
Ac2PrSmHo
1.0
-1.630 -0.459 6.606
-4.224 -7.670 -1.575
5.504 -3.263 1.131
Ho Ac Sm Pr
2 4 2 2
Cartesian
0.000 0.000 0.000
2.752 -1.631 0.566
-2.073 -6.357 1.079
-0.340 -3.209 1.725
1.723 -5.035 5.083
-0.009 -8.183 4.437
1.719 -6.366 1.265
-2.069 -5.026 4.897
3.451 -2.638 3.592
0.423 -1.084 4.145
```

Properties
energy: -0.155 Ha/atom
symmetry: Pmma
N(E_F): 13.289 states/eV per cell


AcPr6Sm2Ho: optimized geometry, PBE.

Geometry as POSCAR:
```
AcPr6Sm2Ho
1.0
0.201 9.110 3.826
-5.642 2.426 -6.806
-3.691 -3.649 7.557
Pr Ac Sm Ho
12 2 4 2
Cartesian
-4.534 1.483 6.617
-3.322 6.913 5.200
-3.171 3.035 -3.016
-4.598 6.405 -2.040
-5.961 4.852 7.593
-7.135 3.639 -2.222
-3.479 -1.947 5.022
-5.653 9.835 -0.445
-5.296 4.241 4.338
-3.836 3.646 0.239
-5.810 0.975 -0.623
-1.997 4.248 6.799
-3.586 3.327 10.087
-5.546 4.560 -5.510
-2.179 4.319 3.083
-6.634 7.445 5.011
-2.498 0.442 -0.434
-6.953 3.568 1.494
-4.688 6.758 1.977
-4.444 1.130 2.600
```

Properties
energy: -0.168 Ha/atom
symmetry: C2/c
N(E_F): 29.183 states/eV per cell


AcPr2SmHo5: optimized geometry, PBE.

Geometry as POSCAR:
```
AcPr2SmHo5
1.0
8.831 0.000 0.000
0.000 8.831 0.000
-4.415 -4.415 7.887
Sm Ho Ac Pr
2 10 2 4
Cartesian
0.000 4.415 3.943
4.415 0.000 3.943
1.831 2.584 5.772
6.246 7.000 2.115
-1.831 -2.584 5.772
-2.584 1.831 5.772
1.831 6.246 2.115
0.000 0.000 0.000
7.000 2.584 2.115
4.415 4.415 0.000
2.584 -1.831 5.772
2.584 1.831 2.115
0.000 0.000 3.943
4.415 4.415 3.943
7.791 5.455 0.000
5.455 1.040 0.000
3.375 7.791 0.000
1.040 3.375 0.000
```

Properties
energy: -0.159 Ha/atom
symmetry: I4/mcm
N(E_F): 18.567 states/eV per cell


Ac2Pr5SmHo: optimized geometry, PBE.

Geometry as POSCAR:
```
Ac2Pr5SmHo
1.0
5.873 0.000 0.000
-2.937 10.492 0.000
0.000 0.000 10.984
Ho Pr Sm Ac
2 10 2 4
Cartesian
0.000 4.300 0.097
2.937 6.191 5.589
0.000 8.066 0.218
0.000 0.378 0.210
2.937 0.316 2.678
0.000 5.890 3.439
0.000 10.176 8.170
2.937 4.602 8.931
2.937 4.354 2.217
2.937 10.114 5.702
0.000 6.138 7.709
2.937 2.426 5.710
2.937 1.965 10.643
0.000 8.527 5.151
0.000 2.382 8.058
2.937 8.110 2.566
0.000 2.460 3.458
2.937 8.031 8.950
```

Properties
energy: -0.164 Ha/atom
symmetry: Cmc2_1
N(E_F): 25.147 states/eV per cell


AcPrSm5Ho2: optimized geometry, PBE.

Geometry as POSCAR:
```
AcPrSm5Ho2
1.0
-4.755 -1.424 2.621
5.078 -10.942 -2.743
4.584 0.038 8.337
Ho Sm Ac Pr
4 10 2 2
Cartesian
1.934 -2.600 2.095
3.339 -9.725 6.784
4.002 -3.956 5.111
0.187 -8.378 1.799
-0.313 -5.102 2.672
2.866 -6.305 7.784
0.618 -3.090 5.454
0.422 -12.200 0.148
6.011 -11.047 4.903
2.293 -9.255 -0.869
2.467 -0.144 4.398
5.019 -7.228 5.179
-1.091 -1.281 3.335
3.044 -6.014 2.256
4.102 -9.256 2.413
2.420 -3.059 8.739
1.439 -5.509 -0.383
1.500 -6.836 5.018
```

Properties
energy: -0.165 Ha/atom
symmetry: Cmc2_1
N(E_F): 21.718 states/eV per cell


AcPr2Sm5Ho: optimized geometry, PBE.

Geometry as POSCAR:
```
AcPr2Sm5Ho
1.0
-1.452 -8.835 0.350
6.346 -0.795 6.276
-7.926 5.941 2.370
Pr Ho Sm Ac
4 2 10 2
Cartesian
-0.149 -5.553 0.956
2.640 -8.285 4.186
5.043 -4.077 5.670
2.254 -1.345 2.440
-3.466 -3.855 3.016
0.433 0.165 5.980
-2.269 3.254 5.345
-5.740 -1.609 2.961
-2.440 -1.233 6.069
2.536 -6.568 6.759
-5.569 2.878 2.237
0.000 0.000 0.000
2.447 -4.815 3.313
-0.764 -6.944 3.651
-0.593 -2.456 2.927
2.707 -2.081 6.035
-2.740 0.563 2.841
-0.293 -4.252 6.154
```

Properties
energy: -0.162 Ha/atom
symmetry: I4/mcm
N(E_F): 20.948 states/eV per cell


Look up the energy of the third one.
-0.159 Ha/atom


Number 6 is which compound?
AcPr2Sm5Ho


The lowest N(E_F) belongs to which entry?
Ac2PrSmHo